# Cs2USe2S2

An optimized crystal structure of Cs2USe2S2 (PBE, Alexandria).

M_tot: 0.0000 μB/atom
formation energy from raw total energies: -1199.1 meV per atom
space group: C2/m (12)
DFT total energy: -5.230 eV/atom

```
7
Lattice="4.3022 -0.0004 -0.0002 -0.0004 7.5038 0.3048 2.1483 3.4296 7.9029" Properties=species:S:1:pos:R:3 pbc="T T T"
Se 2.1505 5.7171 0.2361
Se 4.2995 5.2159 7.9714
S 2.1476 3.5226 5.4719
S 4.3025 7.4104 2.7356
U 0.0000 0.0000 0.0000
Cs 4.2976 3.6474 2.6682
Cs 2.1525 7.2856 5.5393
```